Entry 1:
Compound: Tb3Y2Ho2
Source: Alexandria
Functional: PBE
Structure: relaxed

Cell lengths 11.7810, 3.5486, 10.6770 Å; angles 90.00, 95.88, 90.00 degrees
Last column: nearest neighbours and their distance in Å.
Space group C2/m (No. 12)
Unique sites:
Tb 0.0000 0.0000 0.0000  6 Ho 3.54-3.55, 2 Tb 3.55, 4 Y 3.55
Tb 0.1434 0.0000 0.5723  5 Y 3.54-3.56, 5 Tb 3.55-3.57, 2 Ho 3.56
Y 0.0720 0.5000 0.2855  7 Tb 3.54-3.56, 2 Y 3.55, 3 Ho 3.55-3.56
Ho 0.2135 0.5000 0.8588  4 Ho 3.53-3.55, 5 Tb 3.54-3.56, 3 Y 3.55-3.56

Calculated values
Total moment ... 0.00 μB per cell
DOS at the Fermi energy ... 18.393 states/eV per cell
Calculated total energy ... -5.12 eV/atom
E_form ... 2 kJ per mole of atoms
Distance to the lowest polymorph of the same formula ... 0.000 eV per atom

Entry 2:
Compound: Pm4Dy8Zr
Source: Alexandria
Functional: PBE
Structure: relaxed

Cell lengths 10.9247, 10.9247, 13.3015 Å; angles 90.00, 90.00, 120.00 degrees
Last column: nearest neighbours and their distance in Å.
Space group R-3m (No. 166, hexagonal axes)
Unique sites:
Pm 0.0000 0.0000 0.0000  8 Dy 3.24-3.26
Pm 0.0000 0.5000 0.0000  8 Dy 3.36-3.37
Dy 0.0000 0.0000 0.2437  4 Pm 3.24-3.37, 1 Zr 3.41
Dy 0.0075 0.5038 0.7468  4 Pm 3.26-3.37, 1 Zr 3.42
Zr 0.0000 0.0000 0.5000  8 Dy 3.41-3.42

Calculated values
Total moment ... 1.30 μB per cell
DOS at the Fermi energy ... 72.039 states/eV per cell
Calculated total energy ... -4.41 eV/atom
E_form ... 53 kJ per mole of atoms

Entry 3:
Compound: NdSc2ReN4
Source: Alexandria
Functional: PBE
Structure: relaxed

Cell lengths 3.3505, 11.3685, 11.0716 Å; angles 90.00, 90.00, 90.00 degrees
Last column: nearest neighbours and their distance in Å.
Space group Cmcm (No. 63)
Unique sites:
Nd 0.0000 0.1147 0.2500  6 N 2.55-2.65
Sc 0.0000 0.3693 0.0367  3 N 2.11-2.28
Re 0.0000 0.1454 0.7500  4 N 1.96-1.97
N 0.0000 0.0000 0.0000  4 Sc 2.28
N 0.0000 0.2597 0.6175  1 Re 1.96, 1 Sc 2.11
N 0.0000 0.4459 0.2500  2 Re 1.97

Calculated values
Total moment ... 0.00 μB per cell
DOS at the Fermi energy ... 10.432 states/eV per cell
Calculated total energy ... -8.99 eV/atom
Energy relative to the elements, uncorrected ... -1.09 eV/atom